TmAl3 | GGA-PBE | relaxed

Lattice parameters (Å, degrees): 4.2242 4.2242 4.2242 90.00 90.00 90.00
Fractional positions:
Al (0.5000, 0.0000, 0.4164)
Al (0.0000, 0.0000, 0.9167)
Al (0.5000, 0.5000, 0.9168)
Tm (0.0000, 0.5000, 0.4167)

Values from the calculation:
Total energy, eV per atom: -4.335
Magnetic moment, μB/cell: 0.00
DOS(E_F), states/eV/cell: 1.72